K2MgP | SCAN | PBEsol geometry

The structure in CIF format:
```
data_K2MgP
_chemical_formula_sum 'K4 Mg2 P2'
_cell_length_a 4.5064
_cell_length_b 4.5064
_cell_length_c 11.9462
_cell_angle_alpha 100.87
_cell_angle_beta 100.87
_cell_angle_gamma 90.00
_space_group_name_H-M_alt 'P 1'
_space_group_IT_number 1
loop_
_space_group_symop_operation_xyz
'x,y,z'
loop_
_atom_site_label
_atom_site_fract_x
_atom_site_fract_y
_atom_site_fract_z
K1 0.1250 0.1016 0.7500
K2 0.3516 0.8750 0.2500
K3 0.8984 0.3750 0.2500
K4 0.6250 0.6484 0.7500
Mg1 0.7500 0.2500 0.5000
Mg2 0.5000 0.5000 0.0000
P1 0.0000 0.0000 0.0000
P2 0.2500 0.7500 0.5000
```

Computed properties:
* ΔH_f (0 K): 282 meV/atom
* V: 29.23 Å³ per atom
* space-group type: No. 122
* energy: -7.726 eV per atom

K2MgP | SCAN | PBEsol geometry

The structure in CIF format:
```
data_K2MgP
_chemical_formula_sum 'K2 Mg1 P1'
_cell_length_a 5.3844
_cell_length_b 5.3844
_cell_length_c 5.3844
_cell_angle_alpha 60.00
_cell_angle_beta 60.00
_cell_angle_gamma 60.00
_space_group_name_H-M_alt 'P 1'
_space_group_IT_number 1
loop_
_space_group_symop_operation_xyz
'x,y,z'
loop_
_atom_site_label
_atom_site_fract_x
_atom_site_fract_y
_atom_site_fract_z
P1 0.2500 0.2500 0.2500
Mg1 0.5000 0.5000 0.5000
K1 0.0000 0.0000 0.0000
K2 0.7500 0.7500 0.7500
```

Computed properties:
* ΔH_f (0 K): 21 meV/atom
* V: 27.60 Å³ per atom
* space-group type: No. 216
* energy: -7.986 eV per atom

K2MgP | SCAN | PBEsol geometry

The structure in CIF format:
```
data_K2MgP
_chemical_formula_sum 'K2 Mg1 P1'
_cell_length_a 3.5180
_cell_length_b 3.5180
_cell_length_c 11.7060
_cell_angle_alpha 81.36
_cell_angle_beta 81.36
_cell_angle_gamma 60.00
_space_group_name_H-M_alt 'P 1'
_space_group_IT_number 1
loop_
_space_group_symop_operation_xyz
'x,y,z'
loop_
_atom_site_label
_atom_site_fract_x
_atom_site_fract_y
_atom_site_fract_z
K1 0.2648 0.2648 0.2056
K2 0.7352 0.7352 0.7944
Mg1 0.5000 0.5000 0.5000
P1 0.0000 0.0000 0.0000
```

Computed properties:
* ΔH_f (0 K): 275 meV/atom
* V: 30.89 Å³ per atom
* space-group type: No. 166
* energy: -7.733 eV per atom

KMg2P | SCAN | PBEsol geometry

The structure in CIF format:
```
data_KMg2P
_chemical_formula_sum 'K1 Mg2 P1'
_cell_length_a 2.9931
_cell_length_b 6.1340
_cell_length_c 6.0727
_cell_angle_alpha 120.33
_cell_angle_beta 90.00
_cell_angle_gamma 90.00
_space_group_name_H-M_alt 'P 1'
_space_group_IT_number 1
loop_
_space_group_symop_operation_xyz
'x,y,z'
loop_
_atom_site_label
_atom_site_fract_x
_atom_site_fract_y
_atom_site_fract_z
Mg1 0.0000 0.5000 0.5000
Mg2 0.0000 0.0000 0.5000
P1 0.5000 0.0000 0.0000
K1 0.5000 0.5000 0.0000
```

Computed properties:
* ΔH_f (0 K): 382 meV/atom
* V: 24.06 Å³ per atom
* space-group type: No. 65
* energy: -6.786 eV per atom

K2MgPb | SCAN | PBEsol geometry

The structure in CIF format:
```
data_K2MgPb
_chemical_formula_sum 'K2 Mg1 Pb1'
_cell_length_a 5.2625
_cell_length_b 5.2625
_cell_length_c 6.9457
_cell_angle_alpha 67.74
_cell_angle_beta 67.74
_cell_angle_gamma 60.00
_space_group_name_H-M_alt 'P 1'
_space_group_IT_number 1
loop_
_space_group_symop_operation_xyz
'x,y,z'
loop_
_atom_site_label
_atom_site_fract_x
_atom_site_fract_y
_atom_site_fract_z
K1 0.2341 0.2341 0.2978
K2 0.0187 0.0187 0.9440
Mg1 0.4622 0.4622 0.6135
Pb1 0.7923 0.7923 0.6232
```

Computed properties:
* ΔH_f (0 K): -234 meV/atom
* V: 37.45 Å³ per atom
* space-group type: No. 160
* energy: -24.587 eV per atom

K2MgPb | SCAN | PBEsol geometry

The structure in CIF format:
```
data_K2MgPb
_chemical_formula_sum 'K2 Mg1 Pb1'
_cell_length_a 5.6402
_cell_length_b 5.6402
_cell_length_c 5.6402
_cell_angle_alpha 60.00
_cell_angle_beta 60.00
_cell_angle_gamma 60.00
_space_group_name_H-M_alt 'P 1'
_space_group_IT_number 1
loop_
_space_group_symop_operation_xyz
'x,y,z'
loop_
_atom_site_label
_atom_site_fract_x
_atom_site_fract_y
_atom_site_fract_z
Mg1 0.5000 0.5000 0.5000
K1 0.0000 0.0000 0.0000
K2 0.7500 0.7500 0.7500
Pb1 0.2500 0.2500 0.2500
```

Computed properties:
* ΔH_f (0 K): -180 meV/atom
* V: 31.72 Å³ per atom
* space-group type: No. 216
* energy: -24.533 eV per atom